one | ## Li3ScCl6 (PBE)

Data for a relaxed structure of Li3ScCl6.

Cell lengths 7.0126, 7.0126, 7.0126 Å; angles 60.00, 60.00, 60.00 degrees
With the nearest neighbours (Å) after each atom.
Atoms (fractional coordinates):
Li 0.0000 0.0000 0.0000  6 Cl 2.49
Li 0.2500 0.2500 0.2500  12 Cl 3.51
Li 0.7500 0.7500 0.7500  12 Cl 3.51
Sc 0.5000 0.5000 0.5000  6 Cl 2.47
Cl 0.2510 0.2510 0.7490  1 Sc 2.47, 1 Li 2.49
Cl 0.2510 0.7490 0.2510  1 Sc 2.47, 1 Li 2.49
Cl 0.2510 0.7490 0.7490  1 Sc 2.47, 1 Li 2.49
Cl 0.7490 0.2510 0.2510  1 Sc 2.47, 1 Li 2.49
Cl 0.7490 0.2510 0.7490  1 Sc 2.47, 1 Li 2.49
Cl 0.7490 0.7490 0.2510  1 Sc 2.47, 1 Li 2.49

symmetry = No. 225



two | ## Li3ScCl6 (PBE)

Data for a relaxed structure of Li3ScCl6.

Cell lengths 6.3994, 6.3994, 24.4458 Å; angles 92.44, 92.44, 119.80 degrees
With the nearest neighbours (Å) after each atom.
Atoms (fractional coordinates):
Li 0.0000 0.0000 0.0000  6 Cl 2.55-2.79
Li 0.0461 0.6993 0.1251  6 Cl 2.53-2.65
Li 0.1348 0.1200 0.3756  6 Cl 2.52-2.69
Li 0.2492 0.2517 0.7499  6 Cl 2.53-2.82
Li 0.3007 0.9539 0.8749  6 Cl 2.53-2.65
Li 0.3853 0.3620 0.1249  6 Cl 2.52-2.71
Li 0.5422 0.1912 0.6249  6 Cl 2.53-2.69
Li 0.6380 0.6147 0.8751  6 Cl 2.52-2.71
Li 0.7483 0.7508 0.2501  6 Cl 2.53-2.82
Li 0.8088 0.4578 0.3751  6 Cl 2.53-2.69
Li 0.8405 0.1595 0.5000  6 Cl 2.55-2.75
Li 0.8800 0.8652 0.6244  6 Cl 2.52-2.69
Sc 0.2125 0.5328 0.6244  6 Cl 2.50-2.51
Sc 0.4672 0.7875 0.3756  6 Cl 2.50-2.51
Sc 0.7128 0.0333 0.1251  6 Cl 2.50-2.51
Sc 0.9667 0.2872 0.8749  6 Cl 2.50-2.51
Cl 0.0265 0.3283 0.0678  1 Sc 2.50, 3 Li 2.55-2.65
Cl 0.0413 0.0352 0.1854  1 Sc 2.51, 3 Li 2.54-2.71
Cl 0.1233 0.7749 0.3195  1 Sc 2.51, 2 Li 2.52-2.53
Cl 0.1585 0.4731 0.4308  1 Sc 2.51, 3 Li 2.52-2.75
Cl 0.1794 0.1887 0.5644  1 Sc 2.51, 3 Li 2.55-2.69
Cl 0.2251 0.8767 0.6805  1 Sc 2.51, 2 Li 2.52-2.53
Cl 0.2808 0.5817 0.8177  1 Sc 2.50, 3 Li 2.54-2.65
Cl 0.2944 0.2888 0.9355  1 Sc 2.51, 3 Li 2.55-2.71
Cl 0.3640 0.0107 0.0690  1 Sc 2.51, 3 Li 2.52-2.79
Cl 0.4183 0.7192 0.1823  1 Sc 2.50, 3 Li 2.54-2.65
Cl 0.4698 0.4580 0.3172  1 Sc 2.50, 3 Li 2.54-2.69
Cl 0.5050 0.1374 0.4335  1 Sc 2.50, 3 Li 2.56-2.66
Cl 0.5269 0.8415 0.5692  1 Sc 2.51, 3 Li 2.52-2.75
Cl 0.5420 0.5302 0.6828  1 Sc 2.50, 3 Li 2.54-2.69
Cl 0.6178 0.2644 0.8189  1 Sc 2.51, 3 Li 2.52-2.81
Cl 0.6717 0.9735 0.9322  1 Sc 2.50, 3 Li 2.55-2.65
Cl 0.7112 0.7056 0.0645  1 Sc 2.51, 3 Li 2.55-2.71
Cl 0.7356 0.3822 0.1811  1 Sc 2.51, 3 Li 2.52-2.81
Cl 0.7726 0.0795 0.3159  1 Sc 2.51, 3 Li 2.53-2.67
Cl 0.8113 0.8206 0.4356  1 Sc 2.51, 3 Li 2.55-2.69
Cl 0.8626 0.4950 0.5665  1 Sc 2.50, 3 Li 2.56-2.66
Cl 0.9205 0.2274 0.6841  1 Sc 2.51, 3 Li 2.53-2.67
Cl 0.9648 0.9587 0.8146  1 Sc 2.51, 3 Li 2.54-2.71
Cl 0.9893 0.6360 0.9310  1 Sc 2.51, 3 Li 2.52-2.79

symmetry = No. 5



Q: Which of them is the least stable? A: one.



one | ## Li3ScCl6 (PBE)

Data for a relaxed structure of Li3ScCl6.

Cell lengths 6.4788, 6.5888, 11.8015 Å; angles 90.00, 123.17, 90.00 degrees
With the nearest neighbours (Å) after each atom.
Atoms (fractional coordinates):
Li 0.0000 0.0000 0.0000  4 Cl 2.46-2.66
Li 0.0000 0.5000 0.5000  4 Cl 2.46-2.66
Li 0.2215 0.0335 0.7305  4 Cl 2.47-2.61
Li 0.2215 0.4665 0.2305  4 Cl 2.47-2.61
Li 0.7785 0.5335 0.7695  4 Cl 2.47-2.61
Li 0.7785 0.9665 0.2695  4 Cl 2.47-2.61
Sc 0.5000 0.0000 0.5000  6 Cl 2.49-2.53
Sc 0.5000 0.5000 0.0000  6 Cl 2.49-2.53
Cl 0.1349 0.0933 0.2669  2 Li 2.47-2.61, 1 Sc 2.53
Cl 0.1349 0.4067 0.7669  2 Li 2.47-2.61, 1 Sc 2.53
Cl 0.2271 0.6773 0.0568  2 Li 2.46-2.49, 1 Sc 2.50
Cl 0.2271 0.8227 0.5568  2 Li 2.46-2.49, 1 Sc 2.50
Cl 0.4291 0.1816 0.0879  1 Sc 2.49, 2 Li 2.53-2.66
Cl 0.4291 0.3184 0.5879  1 Sc 2.49, 2 Li 2.53-2.66
Cl 0.5709 0.6816 0.4121  1 Sc 2.49, 2 Li 2.53-2.66
Cl 0.5709 0.8184 0.9121  1 Sc 2.49, 2 Li 2.53-2.66
Cl 0.7729 0.1773 0.4432  2 Li 2.46-2.49, 1 Sc 2.50
Cl 0.7729 0.3227 0.9432  2 Li 2.46-2.49, 1 Sc 2.50
Cl 0.8651 0.5933 0.2331  2 Li 2.47-2.61, 1 Sc 2.53
Cl 0.8651 0.9067 0.7331  2 Li 2.47-2.61, 1 Sc 2.53

symmetry = No. 14



two | ## Li3ScCl6 (PBE)

Data for a relaxed structure of Li3ScCl6.

Cell lengths 7.6191, 7.6191, 7.6191 Å; angles 91.56, 91.56, 91.56 degrees
With the nearest neighbours (Å) after each atom.
Atoms (fractional coordinates):
Li 0.0712 0.7433 0.5757  5 Cl 2.49-2.74
Li 0.2567 0.4243 0.9288  5 Cl 2.49-2.74
Li 0.4243 0.9288 0.2567  5 Cl 2.49-2.74
Li 0.5757 0.0712 0.7433  5 Cl 2.49-2.74
Li 0.7433 0.5757 0.0712  5 Cl 2.49-2.74
Li 0.9288 0.2567 0.4243  5 Cl 2.49-2.74
Sc 0.0000 0.0000 0.0000  6 Cl 2.50
Sc 0.5000 0.5000 0.5000  6 Cl 2.50
Cl 0.0568 0.6935 0.8961  2 Li 2.49-2.60, 1 Sc 2.50
Cl 0.1039 0.9432 0.3065  2 Li 2.49-2.60, 1 Sc 2.50
Cl 0.1936 0.4098 0.5728  1 Sc 2.50, 3 Li 2.53-2.74
Cl 0.3065 0.1039 0.9432  2 Li 2.49-2.60, 1 Sc 2.50
Cl 0.4098 0.5728 0.1936  1 Sc 2.50, 3 Li 2.53-2.74
Cl 0.4272 0.8064 0.5902  1 Sc 2.50, 3 Li 2.53-2.74
Cl 0.5728 0.1936 0.4098  1 Sc 2.50, 3 Li 2.53-2.74
Cl 0.5902 0.4272 0.8064  1 Sc 2.50, 3 Li 2.53-2.74
Cl 0.6935 0.8961 0.0568  2 Li 2.49-2.60, 1 Sc 2.50
Cl 0.8064 0.5902 0.4272  1 Sc 2.50, 3 Li 2.53-2.74
Cl 0.8961 0.0568 0.6935  2 Li 2.49-2.60, 1 Sc 2.50
Cl 0.9432 0.3065 0.1039  2 Li 2.49-2.60, 1 Sc 2.50

symmetry = No. 148



Q: Which of them is the least stable? A: one.